CaMg3Pd PBE optimized geometry; total energy = -2.788 eV/atom; energy above the most stable polymorph in this dataset = 4 meV per atom
1.0
4.266 0.000 0.000
0.000 7.185 -2.781
0.000 -0.061 7.705
Ca Mg Pd
2 6 2
Cartesian
2.133 5.062 0.291
2.133 2.062 4.632
2.133 0.000 0.000
0.000 0.500 2.276
0.000 6.624 2.647
0.000 4.818 5.260
0.000 3.562 2.462
0.000 2.306 -0.337
2.133 2.205 1.524
2.133 4.919 3.400